# 1
Ti2SiN: relaxed, PBE-GGA.

Properties
Crystal system   tetragonal
Total moment   0.00 μB per formula unit
Calculated total energy   -8.0962 eV per atom

POSCAR file:
```
Ti2SiN
1.0
5.995 0.000 0.000
0.000 5.995 0.000
2.997 2.997 3.166
Ti Si N
4 2 2
Direct
0.209 0.625 0.250 Ti
0.375 0.459 0.750 Ti
0.875 0.791 0.750 Ti
0.541 0.125 0.250 Ti
0.750 0.250 0.500 Si
0.000 0.000 0.000 Si
0.500 0.500 0.000 N
0.250 0.750 0.500 N
```

---

# 2
Cs2Cd5Ag: relaxed, PBE-GGA.

Properties
Crystal system   monoclinic
Total moment   0.00 μB per formula unit
Energy of formation   0.002 eV per atom

POSCAR file:
```
Cs2Cd5Ag
1.0
6.769 0.000 0.000
0.000 6.767 -0.001
-3.384 -3.383 6.589
Cd Ag Cs
5 1 2
Direct
0.803 0.803 0.075 Cd
0.657 0.657 0.313 Cd
0.272 0.803 0.075 Cd
0.272 0.272 0.075 Cd
0.802 0.272 0.075 Cd
0.895 0.895 0.791 Ag
0.288 0.786 0.575 Cs
0.788 0.288 0.575 Cs
```

---

# 3
LiAl2: relaxed, PBE-GGA.

Properties
Crystal system   tetragonal
Total moment   0.00 μB per formula unit
Energy of formation   -0.110 eV per atom

POSCAR file:
```
LiAl2
1.0
12.319 -0.004 0.000
10.995 5.556 0.000
-11.657 -2.776 2.858
Al Li
8 4
Direct
0.416 0.416 0.000 Al
0.498 0.998 0.500 Al
0.248 0.248 0.000 Al
0.752 0.752 0.000 Al
0.002 0.502 0.500 Al
0.666 0.166 0.500 Al
0.834 0.334 0.500 Al
0.584 0.584 0.000 Al
0.168 0.668 0.500 Li
0.332 0.832 0.500 Li
0.918 0.918 0.000 Li
0.082 0.082 0.000 Li
```

---

# 4
Sm2Ho3Ru2: relaxed, PBE-GGA.

Properties
Crystal system   monoclinic
Total moment   0.00 μB per formula unit
Energy of formation   -0.314 eV per atom

POSCAR file:
```
Sm2Ho3Ru2
1.0
3.860 0.000 0.000
-1.930 6.002 -0.354
0.000 -3.227 8.108
Sm Ru Ho
2 2 3
Direct
0.836 0.672 0.196 Sm
0.164 0.328 0.804 Sm
0.178 0.355 0.229 Ru
0.822 0.645 0.771 Ru
0.378 0.756 0.574 Ho
0.500 0.000 0.000 Ho
0.622 0.244 0.426 Ho
```

---

# 5
TiTeSe: relaxed, PBE-GGA.

Properties
Crystal system   monoclinic
Total moment   0.00 μB per formula unit
Calculated total energy   -5.7517 eV per atom

POSCAR file:
```
TiTeSe
1.0
-0.414 -2.519 2.592
4.850 2.520 3.222
-4.755 4.074 3.201
Se Ti Te
2 2 2
Direct
0.250 0.100 0.717 Se
0.750 0.900 0.283 Se
0.250 0.764 0.497 Ti
0.750 0.236 0.503 Ti
0.250 0.404 0.249 Te
0.750 0.596 0.751 Te
```

---

# 6
Rb2BWBr6: relaxed, PBE-GGA.

Properties
Crystal system   tetragonal
Total moment   3.00 μB per formula unit
Calculated total energy   -3.6247 eV per atom

POSCAR file:
```
Rb2BWBr6
1.0
7.581 0.000 0.000
0.000 7.581 0.000
3.791 3.791 5.351
Br Rb W B
6 2 1 1
Direct
0.244 0.756 0.000 Br
0.755 0.755 0.489 Br
0.756 0.244 0.000 Br
0.244 0.244 0.000 Br
0.756 0.756 0.000 Br
0.245 0.245 0.511 Br
0.250 0.750 0.500 Rb
0.750 0.250 0.500 Rb
0.000 0.000 0.000 W
0.500 0.500 0.000 B
```

---

# 7
SrLaGaGe: relaxed, PBE-GGA.

Properties
Crystal system   cubic
Total moment   0.00 μB per formula unit
Energy of formation   -0.490 eV per atom

POSCAR file:
```
SrLaGaGe
1.0
5.384 0.000 0.000
2.692 4.663 0.000
2.692 1.554 4.396
Ga Ge La Sr
1 1 1 1
Direct
0.750 0.750 0.750 Ga
0.250 0.250 0.250 Ge
0.500 0.500 0.500 La
0.000 0.000 0.000 Sr
```

---

# 8
YPdPt2Cl: relaxed, PBE-GGA.

Properties
Crystal system   tetragonal
Total moment   0.00 μB per formula unit
Calculated total energy   -4.2914 eV per atom

POSCAR file:
```
YPdPt2Cl
1.0
-5.097 -0.707 -0.101
0.699 -5.134 0.686
-0.192 0.655 5.102
Y Cl Pt Pd
1 1 2 1
Direct
0.000 0.000 0.000 Y
0.500 0.500 0.500 Cl
0.000 0.000 0.500 Pt
0.500 0.000 0.000 Pt
0.000 0.500 0.000 Pd
```

---

# 9
HoTmTe6: relaxed, PBE-GGA.

Properties
Crystal system   orthorhombic
Total moment   0.00 μB per formula unit
Calculated total energy   -4.3629 eV per atom

POSCAR file:
```
HoTmTe6
1.0
4.265 0.000 -0.733
0.000 4.330 0.000
0.116 0.000 13.455
Tm Te Ho
1 6 1
Direct
0.827 0.000 0.654 Tm
0.079 0.000 0.158 Te
0.421 0.000 0.841 Te
0.293 0.500 0.585 Te
0.708 0.000 0.416 Te
0.921 0.500 0.841 Te
0.579 0.500 0.158 Te
0.173 0.500 0.346 Ho
```

---

# 10
BaDyIrO6: relaxed, PBE-GGA.

Properties
Crystal system   trigonal
Total moment   2.03 μB per formula unit
Calculated total energy   -6.9081 eV per atom

POSCAR file:
```
BaDyIrO6
1.0
5.619 0.000 0.000
2.810 4.866 0.000
0.000 0.000 5.652
Dy O Ir Ba
1 6 1 1
Direct
0.667 0.667 0.500 Dy
0.352 0.605 0.304 O
0.043 0.352 0.304 O
0.043 0.605 0.696 O
0.605 0.352 0.696 O
0.605 0.043 0.304 O
0.352 0.043 0.696 O
0.333 0.333 0.500 Ir
0.000 0.000 0.000 Ba
```

---

# 11
Li8CdAg5: relaxed, PBE-GGA.

Properties
Crystal system   tetragonal
Total moment   0.00 μB per formula unit
Energy of formation   -0.109 eV per atom

POSCAR file:
```
Li8CdAg5
1.0
-5.483 -1.987 3.573
4.762 -4.909 -0.098
2.375 5.646 3.043
Li Ag Cd
8 5 1
Direct
0.651 0.394 0.917 Li
0.743 0.266 0.349 Li
0.522 0.606 0.257 Li
0.593 0.928 0.859 Li
0.931 0.072 0.664 Li
0.336 0.267 0.407 Li
0.141 0.733 0.069 Li
0.083 0.734 0.478 Li
0.792 0.667 0.708 Ag
0.500 0.000 0.500 Ag
0.040 0.333 0.125 Ag
0.292 0.085 0.960 Ag
0.875 0.915 0.208 Ag
0.250 0.500 0.750 Cd
```

---

# 12
Li2CdGe: relaxed, PBE-GGA.

Properties
Crystal system   tetragonal
Total moment   0.00 μB per formula unit
Energy of formation   -0.014 eV per atom

POSCAR file:
```
Li2CdGe
1.0
-2.601 5.032 4.820
-0.604 -5.289 5.195
1.026 0.411 5.863
Cd Li Ge
2 4 2
Direct
0.000 0.000 0.000 Cd
0.750 0.250 0.500 Cd
0.375 0.391 0.750 Li
0.609 0.125 0.250 Li
0.141 0.625 0.250 Li
0.875 0.859 0.750 Li
0.500 0.500 0.000 Ge
0.250 0.750 0.500 Ge
```

---

# 13
PmPr4N5: relaxed, PBE-GGA.

Properties
Crystal system   tetragonal
Total moment   0.00 μB per formula unit
Calculated total energy   -7.8677 eV per atom

POSCAR file:
```
PmPr4N5
1.0
4.726 0.000 2.279
2.363 5.791 1.140
-0.153 0.000 6.356
N Pr Pm
5 4 1
Direct
0.892 0.396 0.802 N
0.090 0.604 0.198 N
0.694 0.198 0.396 N
0.288 0.802 0.604 N
0.483 0.000 0.000 N
0.812 0.801 0.600 Pr
0.613 0.600 0.199 Pr
0.213 0.199 0.400 Pr
0.412 0.400 0.801 Pr
0.014 0.000 0.000 Pm
```

---

# 14
K2RbCaZr: relaxed, PBE-GGA.

Properties
Crystal system   tetragonal
Total moment   4.84 μB per formula unit
Energy of formation   1.094 eV per atom

POSCAR file:
```
K2RbCaZr
1.0
6.848 0.000 0.000
0.000 6.912 0.000
0.000 0.000 6.848
K Zr Ca Rb
2 1 1 1
Direct
0.000 0.000 0.500 K
0.500 0.000 0.000 K
0.000 0.000 0.000 Zr
0.500 0.500 0.500 Ca
0.000 0.500 0.000 Rb
```

---

# 15
Y2ClO2: relaxed, PBE-GGA.

Properties
Crystal system   monoclinic
Total moment   0.00 μB per formula unit
Calculated total energy   -7.7566 eV per atom

POSCAR file:
```
Y2ClO2
1.0
-1.596 -0.473 4.258
-3.465 -2.829 -4.067
5.858 -4.889 1.653
Y O Cl
4 4 2
Direct
0.511 0.022 0.733 Y
0.834 0.667 0.434 Y
0.166 0.333 0.566 Y
0.489 0.978 0.267 Y
0.648 0.296 0.548 O
0.000 0.001 0.688 O
0.000 0.999 0.312 O
0.352 0.704 0.452 O
0.334 0.667 0.913 Cl
0.666 0.333 0.087 Cl
```

---

# 16
Tl5Hg4Bi4: relaxed, PBE-GGA.

Properties
Crystal system   triclinic
Total moment   0.00 μB per formula unit
Energy of formation   0.015 eV per atom

POSCAR file:
```
Tl5Hg4Bi4
1.0
6.526 -0.323 0.919
2.496 9.044 1.131
-1.120 0.866 6.796
Tl Hg Bi
5 4 4
Direct
0.000 0.000 0.000 Tl
0.445 0.016 0.231 Tl
0.394 0.357 0.890 Tl
0.606 0.643 0.110 Tl
0.555 0.984 0.769 Tl
0.102 0.128 0.556 Hg
0.961 0.312 0.127 Hg
0.039 0.688 0.873 Hg
0.898 0.872 0.444 Hg
0.571 0.286 0.425 Bi
0.429 0.714 0.575 Bi
0.841 0.453 0.661 Bi
0.159 0.547 0.339 Bi
```

---

# 17
KTe2Se: relaxed, PBE-GGA.

Properties
Crystal system   tetragonal
Total moment   0.00 μB per formula unit
Calculated total energy   -2.7266 eV per atom

POSCAR file:
```
KTe2Se
1.0
3.100 0.000 0.000
0.000 3.100 0.000
0.000 0.000 13.361
Te Se K
2 1 1
Direct
0.000 0.000 0.459 Te
0.000 0.000 0.041 Te
0.500 0.500 0.750 Se
0.500 0.500 0.250 K
```

---

# 18
KHPdAu: relaxed, PBE-GGA.

Properties
Crystal system   orthorhombic
Total moment   0.00 μB per formula unit
Calculated total energy   -3.4078 eV per atom

POSCAR file:
```
KHPdAu
1.0
3.008 0.000 0.000
0.000 4.486 0.000
0.000 -2.243 5.614
Pd H K Au
1 1 1 1
Direct
0.500 0.550 0.099 Pd
0.000 0.631 0.263 H
0.500 0.266 0.532 K
0.000 0.983 0.967 Au
```

---

# 19
Rb6MgO4: relaxed, PBE-GGA.

Properties
Crystal system   hexagonal
Total moment   0.00 μB per formula unit
Calculated total energy   -3.7075 eV per atom

POSCAR file:
```
Rb6MgO4
1.0
6.978 0.000 0.000
0.000 7.869 -4.543
0.000 0.000 9.086
Rb Mg O
12 2 8
Direct
0.135 0.462 0.538 Rb
0.967 0.289 0.145 Rb
0.135 0.076 0.538 Rb
0.967 0.855 0.711 Rb
0.635 0.538 0.462 Rb
0.135 0.462 0.924 Rb
0.967 0.855 0.145 Rb
0.467 0.145 0.289 Rb
0.467 0.145 0.855 Rb
0.635 0.538 0.076 Rb
0.635 0.924 0.462 Rb
0.467 0.711 0.855 Rb
0.737 0.333 0.667 Mg
0.237 0.667 0.333 Mg
0.335 0.415 0.207 O
0.944 0.667 0.333 O
0.444 0.333 0.667 O
0.335 0.793 0.585 O
0.835 0.585 0.793 O
0.835 0.207 0.793 O
0.835 0.207 0.415 O
0.335 0.793 0.207 O
```

---

# 20
TcMoRh3: relaxed, PBE-GGA.

Properties
Crystal system   orthorhombic
Total moment   0.00 μB per formula unit
Energy of formation   0.579 eV per atom

POSCAR file:
```
TcMoRh3
1.0
4.912 0.000 0.000
2.456 5.873 -0.324
2.456 0.705 5.840
Rh Tc Mo
6 2 2
Direct
0.019 0.804 0.159 Rh
0.481 0.341 0.696 Rh
0.500 0.000 0.500 Rh
0.000 0.000 0.500 Rh
0.519 0.659 0.304 Rh
0.981 0.196 0.841 Rh
0.250 0.722 0.778 Tc
0.750 0.278 0.222 Tc
0.500 0.000 0.000 Mo
0.000 0.500 0.500 Mo
```

---

# 21
Cu5I2Cl3: relaxed, PBE-GGA.

Properties
Crystal system   orthorhombic
Total moment   0.00 μB per formula unit
Calculated total energy   -3.1327 eV per atom

POSCAR file:
```
Cu5I2Cl3
1.0
-2.784 -5.561 2.977
6.495 -7.997 -0.880
6.783 -4.124 6.625
Cl Cu I
6 10 4
Direct
0.430 0.710 0.430 Cl
0.250 0.000 0.000 Cl
0.750 0.000 0.000 Cl
0.930 0.430 0.710 Cl
0.070 0.570 0.290 Cl
0.570 0.290 0.570 Cl
0.544 0.707 0.204 Cu
0.883 0.867 0.867 Cu
0.456 0.293 0.796 Cu
0.250 0.500 0.500 Cu
0.617 0.133 0.133 Cu
0.117 0.133 0.133 Cu
0.956 0.796 0.293 Cu
0.383 0.867 0.867 Cu
0.044 0.204 0.707 Cu
0.750 0.500 0.500 Cu
0.315 0.375 0.994 I
0.185 0.006 0.625 I
0.815 0.994 0.375 I
0.685 0.625 0.006 I
```

---

# 22
RbAc2Ge6: relaxed, PBE-GGA.

Properties
Crystal system   orthorhombic
Total moment   0.00 μB per formula unit
Energy of formation   -0.265 eV per atom

POSCAR file:
```
RbAc2Ge6
1.0
-1.606 1.994 4.312
-5.722 -3.845 -0.353
7.219 -4.727 1.959
Ge Ac Rb
6 2 1
Direct
0.354 0.166 0.708 Ge
0.354 0.542 0.708 Ge
0.646 0.458 0.292 Ge
0.646 0.834 0.292 Ge
0.500 0.175 0.000 Ge
0.500 0.825 0.000 Ge
0.169 0.169 0.338 Ac
0.831 0.831 0.662 Ac
0.000 0.500 0.000 Rb
```

---

# 23
Li2PPt3: relaxed, PBE-GGA.

Properties
Crystal system   trigonal
Total moment   0.00 μB per formula unit
Energy of formation   -0.653 eV per atom

POSCAR file:
```
Li2PPt3
1.0
-3.282 1.326 3.231
-4.377 -1.388 -1.371
-1.459 -3.772 2.572
P Li Pt
1 2 3
Direct
0.000 0.000 0.000 P
0.378 0.378 0.378 Li
0.622 0.622 0.622 Li
0.000 0.500 0.000 Pt
0.000 0.000 0.500 Pt
0.500 0.000 0.000 Pt
```